Compound: TaFeTe2
Source: Alexandria via LeMat-Bulk
Functional: GGA-PBEsol
Structure: relaxed

a b c (Å): 6.976 4.029 6.625
angles (deg): 90.00 90.07 90.00
Space group Cm (No. 8)
Symmetry-distinct sites (fractional):
Ta1 0.000 0.000 0.000 (multiplicity 2)
Fe1 0.167 0.500 0.137 (multiplicity 2)
Te1 0.166 0.500 0.752 (multiplicity 2)
Te2 0.334 0.000 0.282 (multiplicity 2)

Results
- energy (eV/f.u.) = -29.58
- raw formation energy (eV/atom) = -0.25
- density of states at the Fermi level (states/eV/atom) = 0.673
- calculated density (g cm⁻³) = 8.8


Compound: MgCSe2
Source: Alexandria via LeMat-Bulk
Functional: GGA-PBEsol
Structure: relaxed

a b c (Å): 4.0089 4.0089 19.3458
angles (deg): 90.00 90.00 120.00
Space group R-3m (No. 166, hexagonal axes)
Symmetry-distinct sites (fractional):
Mg1 0.0000 0.0000 0.0000 (multiplicity 3)
C1 0.0000 0.0000 0.5000 (multiplicity 3)
Se1 0.0000 0.0000 0.4089 (multiplicity 6)

Results
- energy (eV/f.u.) = -16.91
- distance to the lowest polymorph of the same formula (eV/f.u.) = 0.00
- raw formation energy (eV/atom) = 0.54
- density of states at the Fermi level (states/eV/atom) = 0.380
- calculated density (g cm⁻³) = 3.6


Compound: SmErFe4
Source: Alexandria via LeMat-Bulk
Functional: GGA-PBEsol
Structure: relaxed

a b c (Å): 7.119 7.119 7.119
angles (deg): 90.00 90.00 90.00
Space group F-43m (No. 216)
Symmetry-distinct sites (fractional):
Sm1 0.000 0.000 0.000 (multiplicity 4)
Er1 0.250 0.250 0.250 (multiplicity 4)
Fe1 0.125 0.125 0.625 (multiplicity 16)

Results
- energy (eV/f.u.) = -46.13
- density of states at the Fermi level (states/eV/atom) = 1.208
- calculated density (g cm⁻³) = 10.0


- calculated density of number 1 (TaFeTe2)?
  8.8 g cm⁻³


Repeat the third record exactly.
Compound: SmErFe4
Source: Alexandria via LeMat-Bulk
Functional: GGA-PBEsol
Structure: relaxed

a b c (Å): 7.119 7.119 7.119
angles (deg): 90.00 90.00 90.00
Space group F-43m (No. 216)
Symmetry-distinct sites (fractional):
Sm1 0.000 0.000 0.000 (multiplicity 4)
Er1 0.250 0.250 0.250 (multiplicity 4)
Fe1 0.125 0.125 0.625 (multiplicity 16)

Results
- energy (eV/f.u.) = -46.13
- density of states at the Fermi level (states/eV/atom) = 1.208
- calculated density (g cm⁻³) = 10.0